# 1
The following is a DFT calculation (SCAN) of a crystal of BeIn2Pt relaxed with PBEsol.

## Properties
ΔH_f (0 K) = 4 kJ/mol of formula units
ρ = 10.8 Mg/m³
DFT total energy = -35.319 eV/atom
symmetry = P4/mmm (123)

a b c (Å): 4.1394 4.1394 3.9062
angles (deg): 90.00 90.00 90.00
Sites, in units of the cell vectors:
Be 0.0000 0.0000 0.0000
In 0.0000 0.5000 0.5000
In 0.5000 0.0000 0.5000
Pt 0.5000 0.5000 0.0000


# 2
The following is a DFT calculation (SCAN) of a crystal of BeIn2Pt relaxed with PBEsol.

## Properties
ΔH_f (0 K) = -66 kJ/mol of formula units
ρ = 10.3 Mg/m³
DFT total energy = -35.500 eV/atom
symmetry = Imm2 (44)

a b c (Å): 2.9152 4.3273 11.1155
angles (deg): 90.00 90.00 90.00
Sites, in units of the cell vectors:
Be 0.0000 0.0000 0.0000
Be 0.5000 0.5000 0.5000
In 0.0000 0.0000 0.5259
In 0.0000 0.5000 0.7384
In 0.5000 0.0000 0.2384
In 0.5000 0.5000 0.0259
Pt 0.0000 0.5000 0.3405
Pt 0.5000 0.0000 0.8405


# 3
The following is a DFT calculation (SCAN) of a crystal of RbBe3In relaxed with PBEsol.

## Properties
ΔH_f (0 K) = 481 kJ/mol of formula units
ρ = 3.4 Mg/m³
DFT total energy = -12.440 eV/atom
symmetry = Pm-3m (221)

a b c (Å): 4.7840 4.7840 4.7840
angles (deg): 90.00 90.00 90.00
Sites, in units of the cell vectors:
Rb 0.0000 0.0000 0.0000
Be 0.0000 0.5000 0.5000
Be 0.5000 0.0000 0.5000
Be 0.5000 0.5000 0.0000
In 0.5000 0.5000 0.5000


# 4
The following is a DFT calculation (SCAN) of a crystal of RbBe2InTc relaxed with PBEsol.

## Properties
ΔH_f (0 K) = 1305 kJ/mol of formula units
ρ = 4.4 Mg/m³
DFT total energy = -16.873 eV/atom
symmetry = P4/mmm (123)

a b c (Å): 4.6521 4.6521 5.5091
angles (deg): 90.00 90.00 90.00
Sites, in units of the cell vectors:
Rb 0.0000 0.0000 0.0000
Be 0.0000 0.5000 0.0000
Be 0.5000 0.0000 0.0000
In 0.0000 0.0000 0.5000
Tc 0.5000 0.5000 0.5000


# 5
The following is a DFT calculation (SCAN) of a crystal of Be2InRe relaxed with PBEsol.

## Properties
ΔH_f (0 K) = 159 kJ/mol of formula units
ρ = 9.3 Mg/m³
DFT total energy = -27.887 eV/atom
symmetry = Cmmm (65)

a b c (Å): 3.2141 4.3978 8.0545
angles (deg): 90.00 90.00 90.00
Sites, in units of the cell vectors:
Be 0.0000 0.0000 0.2097
Be 0.0000 0.0000 0.7903
Be 0.5000 0.5000 0.2097
Be 0.5000 0.5000 0.7903
In 0.0000 0.5000 0.5000
In 0.5000 0.0000 0.5000
Re 0.0000 0.5000 0.0000
Re 0.5000 0.0000 0.0000


# 6
The following is a DFT calculation (SCAN) of a crystal of BeInRe3 relaxed with PBEsol.

## Properties
ΔH_f (0 K) = 427 kJ/mol of formula units
ρ = 15.3 Mg/m³
DFT total energy = -49.321 eV/atom
symmetry = Pm-3m (221)

a b c (Å): 4.1954 4.1954 4.1954
angles (deg): 90.00 90.00 90.00
Sites, in units of the cell vectors:
Be 0.0000 0.0000 0.0000
In 0.5000 0.5000 0.5000
Re 0.0000 0.0000 0.5000
Re 0.0000 0.5000 0.0000
Re 0.5000 0.0000 0.0000


# 7
The following is a DFT calculation (SCAN) of a crystal of BeIn2Rh2 relaxed with PBEsol.

## Properties
ΔH_f (0 K) = -212 kJ/mol of formula units
ρ = 9.4 Mg/m³
DFT total energy = -28.173 eV/atom
symmetry = P4/mbm (127)

a b c (Å): 6.1081 6.1081 4.1924
angles (deg): 90.00 90.00 90.00
Sites, in units of the cell vectors:
Be 0.0000 0.0000 0.0000
Be 0.5000 0.5000 0.0000
In 0.1635 0.3365 0.5000
In 0.3365 0.8365 0.5000
In 0.6635 0.1635 0.5000
In 0.8365 0.6635 0.5000
Rh 0.1544 0.6544 0.0000
Rh 0.3456 0.1544 0.0000
Rh 0.6544 0.8456 0.0000
Rh 0.8456 0.3456 0.0000


# 8
The following is a DFT calculation (SCAN) of a crystal of Be2InRh relaxed with PBEsol.

## Properties
ΔH_f (0 K) = 26 kJ/mol of formula units
ρ = 7.1 Mg/m³
DFT total energy = -18.900 eV/atom
symmetry = R-3m (166)

a b c (Å): 2.8520 2.8520 23.6143
angles (deg): 90.00 90.00 120.00
Sites, in units of the cell vectors:
Be 0.0000 0.0000 0.2355
Be 0.0000 0.0000 0.7645
Be 0.3333 0.6667 0.4311
Be 0.3333 0.6667 0.9022
Be 0.6667 0.3333 0.0978
Be 0.6667 0.3333 0.5689
In 0.0000 0.0000 0.0000
In 0.3333 0.6667 0.6667
In 0.6667 0.3333 0.3333
Rh 0.0000 0.0000 0.5000
Rh 0.3333 0.6667 0.1667
Rh 0.6667 0.3333 0.8333


# 9
The following is a DFT calculation (SCAN) of a crystal of BeInRh3 relaxed with PBEsol.

## Properties
ΔH_f (0 K) = -83 kJ/mol of formula units
ρ = 10.2 Mg/m³
DFT total energy = -27.984 eV/atom
symmetry = Pm-3m (221)

a b c (Å): 4.1258 4.1258 4.1258
angles (deg): 90.00 90.00 90.00
Sites, in units of the cell vectors:
Be 0.0000 0.0000 0.0000
In 0.5000 0.5000 0.5000
Rh 0.0000 0.0000 0.5000
Rh 0.0000 0.5000 0.0000
Rh 0.5000 0.0000 0.0000


# 10
The following is a DFT calculation (SCAN) of a crystal of BeIn2Rh relaxed with PBEsol.

## Properties
ΔH_f (0 K) = -7 kJ/mol of formula units
ρ = 8.9 Mg/m³
DFT total energy = -26.242 eV/atom
symmetry = P4/mmm (123)

a b c (Å): 4.1264 4.1264 3.7243
angles (deg): 90.00 90.00 90.00
Sites, in units of the cell vectors:
Be 0.0000 0.0000 0.0000
In 0.0000 0.5000 0.5000
In 0.5000 0.0000 0.5000
Rh 0.5000 0.5000 0.0000


# 11
The following is a DFT calculation (SCAN) of a crystal of BeInRu2 relaxed with PBEsol.

## Properties
ΔH_f (0 K) = 128 kJ/mol of formula units
ρ = 9.5 Mg/m³
DFT total energy = -26.517 eV/atom
symmetry = C2/m (12)

a b c (Å): 5.3182 8.4517 2.7782
angles (deg): 90.00 114.66 90.00
Sites, in units of the cell vectors:
Be 0.0000 0.0000 0.0000
Be 0.5000 0.5000 0.0000
In 0.0000 0.5000 0.0000
In 0.5000 0.0000 0.0000
Ru 0.2500 0.2500 0.5000
Ru 0.2500 0.7500 0.5000
Ru 0.7500 0.2500 0.5000
Ru 0.7500 0.7500 0.5000


# 12
The following is a DFT calculation (SCAN) of a crystal of BeInRu2 relaxed with PBEsol.

## Properties
ΔH_f (0 K) = 62 kJ/mol of formula units
ρ = 9.7 Mg/m³
DFT total energy = -26.688 eV/atom
symmetry = Amm2 (38)

a b c (Å): 4.0107 2.8323 9.8710
angles (deg): 90.00 90.00 90.00
Sites, in units of the cell vectors:
Be 0.0000 0.0000 0.0000
Be 0.0000 0.5000 0.5000
In 0.5000 0.0000 0.6222
In 0.5000 0.5000 0.1222
Ru 0.0000 0.0000 0.2839
Ru 0.0000 0.5000 0.7839
Ru 0.5000 0.0000 0.8882
Ru 0.5000 0.5000 0.3882


# 13
The following is a DFT calculation (SCAN) of a crystal of Be2InRu relaxed with PBEsol.

## Properties
ΔH_f (0 K) = -19 kJ/mol of formula units
ρ = 7.2 Mg/m³
DFT total energy = -19.280 eV/atom
symmetry = C2/m (12)

a b c (Å): 8.1184 3.1012 4.4509
angles (deg): 90.00 105.99 90.00
Sites, in units of the cell vectors:
Be 0.2201 0.0000 0.1328
Be 0.2799 0.5000 0.8672
Be 0.7201 0.5000 0.1328
Be 0.7799 0.0000 0.8672
In 0.0000 0.0000 0.5000
In 0.5000 0.5000 0.5000
Ru 0.0000 0.5000 0.0000
Ru 0.5000 0.0000 0.0000


# 14
The following is a DFT calculation (SCAN) of a crystal of Be2InRu relaxed with PBEsol.

## Properties
ΔH_f (0 K) = -17 kJ/mol of formula units
ρ = 7.7 Mg/m³
DFT total energy = -19.275 eV/atom
symmetry = I-4m2 (119)

a b c (Å): 3.5174 3.5174 8.1120
angles (deg): 90.00 90.00 90.00
Sites, in units of the cell vectors:
Be 0.0000 0.0000 0.0000
Be 0.0000 0.5000 0.2500
Be 0.5000 0.0000 0.7500
Be 0.5000 0.5000 0.5000
In 0.0000 0.0000 0.5000
In 0.5000 0.5000 0.0000
Ru 0.0000 0.5000 0.7500
Ru 0.5000 0.0000 0.2500


Number 1: volume 67 Å³ per cell. Number 2: volume 140 Å³ per cell. Number 3: volume 109 Å³ per cell. Number 4: volume 119 Å³ per cell. Number 5: volume 114 Å³ per cell. Number 6: volume 74 Å³ per cell. Number 7: volume 156 Å³ per cell. Number 8: volume 166 Å³ per cell. Number 9: volume 70 Å³ per cell. Number 10: volume 63 Å³ per cell. Number 11: volume 113 Å³ per cell. Number 12: volume 112 Å³ per cell. Number 13: volume 108 Å³ per cell. Number 14: volume 100 Å³ per cell.